AcPaVO6 | PBE+U | optimized geometry Values from VASP.

Cell and atoms, written as Quantum ESPRESSO input:
```
&SYSTEM
  ibrav = 0, nat = 18, ntyp = 4
/
ATOMIC_SPECIES
Ac 227.00 Ac.upf
Pa 231.04 Pa.upf
V 50.94 V.upf
O 16.00 O.upf
ATOMIC_POSITIONS crystal
Ac 0.000 0.000 0.000
Ac 0.500 0.500 0.500
Pa 0.000 0.000 0.663
Pa 0.500 0.500 0.163
V 0.000 0.000 0.335
V 0.500 0.500 0.835
O 0.169 0.169 0.484
O 0.212 0.212 0.184
O 0.241 0.241 0.808
O 0.259 0.741 0.308
O 0.288 0.712 0.684
O 0.331 0.669 0.984
O 0.669 0.331 0.984
O 0.712 0.288 0.684
O 0.741 0.259 0.308
O 0.759 0.759 0.808
O 0.788 0.788 0.184
O 0.831 0.831 0.484
CELL_PARAMETERS angstrom
5.122 0.000 0.000
0.000 5.122 0.000
0.000 0.000 10.396
```

E_tot   -154.2 eV/cell